VASP calculation (PBE) on crystalline AlRuPb2 at its relaxed geometry.

abc: 3.2656 3.2656 29.5403
angles: 90.00 90.00 120.00
Space group R3m (No. 160, hexagonal axes)
Inequivalent atoms, fractional coordinates:
Al  0.0000  0.0000  0.0000
Ru  0.0000  0.0000  0.7218
Pb  0.0000  0.0000  0.2401
Pb  0.0000  0.0000  0.4624

## Properties
energy relative to the elements: 162 meV/atom

=====

VASP calculation (PBE) on crystalline LaDy2Se4 at its relaxed geometry.

abc: 4.082 13.490 13.895
angles: 90.00 90.00 90.00
Space group Cmcm (No. 63)
Inequivalent atoms, fractional coordinates:
La  0.000  0.121  0.250
Dy  0.000  0.369  0.066
Se  0.000  0.000  0.000
Se  0.000  0.272  0.620
Se  0.000  0.457  0.250

## Properties
ΔE_f (raw): -1.9279 eV/atom